PaPdAu2O8 | PBE-GGA | relaxed

Properties
Density of states at the Fermi level ... 0.769 states/eV/atom
SG ... I-4m2, No. 119
DFT total energy ... -68.9 eV for the cell shown
Raw formation energy ... -0.66 eV per atom

Unit cell a=6.024 b=6.024 c=6.024 alpha=111.29 beta=111.29 gamma=105.90
Sites, in units of the cell vectors:
O: 0.326 0.016 0.310
O: 0.282 0.107 0.825
O: 0.707 0.016 0.690
O: 0.984 0.674 0.690
O: 0.282 0.458 0.175
O: 0.893 0.718 0.175
O: 0.542 0.718 0.825
O: 0.984 0.293 0.310
Au: 0.750 0.250 0.500
Au: 0.500 0.500 0.000
Pd: 0.000 0.000 0.000
Pa: 0.250 0.750 0.500